1.
VASP calculation (PBE) on a relaxed KTcSn3 crystal.

The volume comes out at 183.2 Å³/cell. As for the energy of formation from the pure elements: 1.90 eV/atom. For the density of states at the Fermi level, the calculation gives 4.7 states/eV per cell. The excess energy over the best structure of this formula in the dataset comes out at 41.59 kcal/mol of atoms.

The structure belongs to space group Pm-3m (No. 221); the cell edges are 5.680, 5.680 and 5.680 Å and the angles 90.00°, 90.00° and 90.00°. Symmetry generates all atoms from K at (0.000, 0.000, 0.000), Tc at (0.500, 0.500, 0.500) and Sn at (0.000, 0.000, 0.500).

2.
VASP calculation (PBE) on a relaxed YTh2SiN5 crystal.

As for the raw formation energy: -1.1628 eV per atom. The volume comes out at 256.7 Å³/cell. For the density of states at the Fermi level, the calculation gives 0.4 states/eV per cell.

The structure belongs to space group P4/mbm (No. 127); the cell edges are 6.669, 6.669 and 5.770 Å and the angles 90.00°, 90.00° and 90.00°. Symmetry generates all atoms from Y at (0.000, 0.000, 0.000), Th at (0.178, 0.322, 0.500), Si at (0.000, 0.500, 0.000), N at (0.000, 0.000, 0.500) and N at (0.138, 0.638, 0.218).

3.
VASP calculation (PBE) on a relaxed Sr2Cd2Sb3 crystal.

As for the raw formation energy: -0.6529 eV per atom. The volume comes out at 895.5 Å³/cell. For the density of states at the Fermi level, the calculation gives 1.0 states/eV per cell.

The structure belongs to space group C2/m (No. 12); the cell edges are 17.600, 4.804 and 13.174 Å and the angles 90.00°, 126.50° and 90.00°. Symmetry generates all atoms from Sr at (0.099, 0.000, 0.444), Sr at (0.236, 0.000, 0.834), Cd at (0.045, 0.500, 0.811), Cd at (0.092, 0.000, 0.161), Sb at (0.088, 0.500, 0.625), Sb at (0.122, 0.000, 0.966) and Sb at (0.162, 0.500, 0.319).

Please write out number 1 again, unchanged.
VASP calculation (PBE) on a relaxed KTcSn3 crystal.

The volume comes out at 183.2 Å³/cell. As for the energy of formation from the pure elements: 1.90 eV/atom. For the density of states at the Fermi level, the calculation gives 4.7 states/eV per cell. The excess energy over the best structure of this formula in the dataset comes out at 41.59 kcal/mol of atoms.

The structure belongs to space group Pm-3m (No. 221); the cell edges are 5.680, 5.680 and 5.680 Å and the angles 90.00°, 90.00° and 90.00°. Symmetry generates all atoms from K at (0.000, 0.000, 0.000), Tc at (0.500, 0.500, 0.500) and Sn at (0.000, 0.000, 0.500).